Record 1
An optimized crystal structure of PmTmAl2. Source: Alexandria via LeMat-Bulk, functional PBE.

Output
Size of the total moment: 0.00 μB per atom
Final energy: -4.560 eV/atom
SG: No. 123
Formation energy: -0.38 eV/atom

abc: 3.628 3.628 7.220
angles: 90.00 90.00 90.00
Positions (direct):
Pm 0.000 0.000 0.000
Tm 0.000 0.000 0.500
Al 0.500 0.500 0.267
Al 0.500 0.500 0.733

Record 2
An optimized crystal structure of PmZnNi2H. Source: Alexandria via LeMat-Bulk, functional PBE.

Output
Size of the total moment: 0.00 μB per atom
Final energy: -4.545 eV/atom
SG: No. 63

abc: 5.506 5.506 6.937
angles: 90.00 90.00 138.69
Positions (direct):
Pm 0.063 0.937 0.750
Pm 0.937 0.063 0.250
Zn 0.219 0.781 0.250
Zn 0.781 0.219 0.750
Ni 0.342 0.658 0.558
Ni 0.342 0.658 0.942
Ni 0.658 0.342 0.058
Ni 0.658 0.342 0.442
H 0.500 0.500 0.000
H 0.500 0.500 0.500

Record 3
An optimized crystal structure of BaLi2TeCl2. Source: Alexandria via LeMat-Bulk, functional PBE.

Output
Size of the total moment: 0.00 μB per atom
Final energy: -3.850 eV/atom
Formation energy from raw total energies: -1.75 eV per atom
SG: No. 11

abc: 7.377 5.578 8.256
angles: 90.00 108.92 90.00
Positions (direct):
Ba 0.158 0.250 0.295
Ba 0.842 0.750 0.705
Li 0.376 0.002 0.809
Li 0.376 0.498 0.809
Li 0.624 0.502 0.191
Li 0.624 0.998 0.191
Te 0.278 0.750 0.060
Te 0.722 0.250 0.940
Cl 0.110 0.250 0.666
Cl 0.393 0.750 0.588
Cl 0.607 0.250 0.412
Cl 0.890 0.750 0.334

Record 4
An optimized crystal structure of GaHAu2. Source: Alexandria via LeMat-Bulk, functional PBE.

Output
Size of the total moment: 0.00 μB per atom
Final energy: -2.840 eV/atom
SG: No. 225
Excess energy over the best structure of this formula in the dataset: 0.293 eV per atom

abc: 4.380 4.380 4.380
angles: 60.00 60.00 60.00
Positions (direct):
Ga 0.000 0.000 0.000
H 0.500 0.500 0.500
Au 0.250 0.250 0.250
Au 0.750 0.750 0.750